Here is a relaxed Zn4CdPt5 crystal from Alexandria via LeMat-Bulk. Energies are from PBE.

The structure belongs to space group P4/mmm (No. 123); the cell edges are 2.914, 2.914 and 17.900 Å and the angles 90.00°, 90.00° and 90.00°. Symmetry generates all atoms from Zn at (0.000, 0.000, 0.097), Zn at (0.000, 0.000, 0.291), Cd at (0.000, 0.000, 0.500), Pt at (0.500, 0.500, 0.000), Pt at (0.500, 0.500, 0.194) and Pt at (0.500, 0.500, 0.385).

For the formation energy from the elements, the calculation gives -500 kJ/mol of formula units. The theoretical density is 14.7 g/cm³. For the total energy, the calculation gives -4.140 eV per atom. Its spin magnetization is 0.00 μB per formula unit.